Entry from Alexandria: an optimized crystal structure of Y6SiBi3 (PBE-GGA).

Values from the calculation:
As for the crystal system: monoclinic. The density of states at the Fermi level comes out at 8.40 states/eV/f.u. The calculation puts the total energy at -62.2 eV per formula unit. As for the uncorrected formation energy: -6.37 eV/f.u.

CIF file:
```
data_Y6SiBi3
_chemical_formula_sum 'Y12 Si2 Bi6'
_symmetry_space_group_name_H-M 'P 1 21/c 1'
_symmetry_Int_Tables_number 14
_cell_length_a 7.101
_cell_length_b 8.340
_cell_length_c 12.487
_cell_angle_alpha 90.00
_cell_angle_beta 123.98
_cell_angle_gamma 90.00
loop_
_symmetry_equiv_pos_as_xyz
'x,y,z'
'-x,-y,-z'
'-x,y+1/2,-z+1/2'
'x,-y+1/2,z+1/2'
loop_
_atom_site_label
_atom_site_fract_x
_atom_site_fract_y
_atom_site_fract_z
Y1 0.057 0.059 0.238
Y2 0.197 0.694 0.059
Y3 0.394 0.163 0.056
Si1 0.000 0.000 0.000
Bi1 0.312 0.121 0.746
Bi2 0.500 0.000 0.500
```

Entry from Alexandria: an optimized crystal structure of Tb5CePrTm2 (PBE-GGA).

Values from the calculation:
The calculated formation energy comes out at 0.1770 eV per atom. As for the crystal system: orthorhombic. The density of states at the Fermi level comes out at 16.00 states/eV/f.u. The calculation puts the total energy at -41.2 eV per formula unit.

CIF file:
```
data_Tb5CePrTm2
_chemical_formula_sum 'Tb20 Ce4 Pr4 Tm8'
_symmetry_space_group_name_H-M 'C m c 21'
_symmetry_Int_Tables_number 36
_cell_length_a 5.701
_cell_length_b 21.505
_cell_length_c 9.605
_cell_angle_alpha 90.00
_cell_angle_beta 90.00
_cell_angle_gamma 90.00
loop_
_symmetry_equiv_pos_as_xyz
'x,y,z'
'-x,-y,z+1/2'
'-x,y,z'
'x,-y,z+1/2'
'x+1/2,y+1/2,z'
'-x+1/2,-y+1/2,z+1/2'
'-x+1/2,y+1/2,z'
'x+1/2,-y+1/2,z+1/2'
loop_
_atom_site_label
_atom_site_fract_x
_atom_site_fract_y
_atom_site_fract_z
Tb1 0.000 0.012 0.000
Tb2 0.000 0.267 0.317
Tb3 0.000 0.306 0.700
Tb4 0.000 0.393 0.023
Tb5 0.000 0.471 0.730
Ce1 0.000 0.195 0.008
Pr1 0.000 0.403 0.406
Tm1 0.000 0.113 0.307
Tm2 0.000 0.137 0.688
```

Entry from Alexandria: an optimized crystal structure of SrSbW2 (PBE-GGA).

Values from the calculation:
As for the crystal system: monoclinic. The density of states at the Fermi level comes out at 2.83 states/eV/f.u. The calculation puts the total energy at -29.8 eV per formula unit. As for the uncorrected formation energy: 1.94 eV/f.u.

CIF file:
```
data_SrSbW2
_chemical_formula_sum 'Sr2 Sb2 W4'
_symmetry_space_group_name_H-M 'C 1 m 1'
_symmetry_Int_Tables_number 8
_cell_length_a 8.536
_cell_length_b 3.390
_cell_length_c 6.961
_cell_angle_alpha 90.00
_cell_angle_beta 99.38
_cell_angle_gamma 90.00
loop_
_symmetry_equiv_pos_as_xyz
'x,y,z'
'x,-y,z'
'x+1/2,y+1/2,z'
'x+1/2,-y+1/2,z'
loop_
_atom_site_label
_atom_site_fract_x
_atom_site_fract_y
_atom_site_fract_z
Sr1 0.000 0.000 0.000
Sb1 0.237 0.000 0.665
W1 0.271 0.500 0.335
W2 0.493 0.000 0.462
```

Entry from Alexandria: an optimized crystal structure of NbSbPt3 (PBE-GGA).

Values from the calculation:
As for the crystal system: cubic. The density of states at the Fermi level comes out at 4.80 states/eV/f.u. The calculation puts the total energy at -27.6 eV per formula unit. As for the relative energy among the computed polymorphs: 4.230 kcal/mol of atoms. As for the uncorrected formation energy: 4.76 eV/f.u.

CIF file:
```
data_NbSbPt3
_chemical_formula_sum 'Nb1 Sb1 Pt3'
_symmetry_space_group_name_H-M 'P m -3 m'
_symmetry_Int_Tables_number 221
_symmetry_space_group_name_Hall '-P 4 2 3'
_cell_length_a 4.881
_cell_length_b 4.881
_cell_length_c 4.881
_cell_angle_alpha 90.00
_cell_angle_beta 90.00
_cell_angle_gamma 90.00
loop_
_atom_site_label
_atom_site_fract_x
_atom_site_fract_y
_atom_site_fract_z
Nb1 0.000 0.000 0.000
Sb1 0.500 0.500 0.500
Pt1 0.000 0.500 0.500
```

Entry from Alexandria: an optimized crystal structure of CrFe2NiH4 (PBE-GGA).

Values from the calculation:
As for the crystal system: monoclinic. The density of states at the Fermi level comes out at 4.63 states/eV/f.u. The calculation puts the total energy at -45.7 eV per formula unit.

CIF file:
```
data_CrFe2NiH4
_chemical_formula_sum 'Cr1 Fe2 Ni1 H4'
_symmetry_space_group_name_H-M 'P 1 2/m 1'
_symmetry_Int_Tables_number 10
_cell_length_a 4.634
_cell_length_b 2.620
_cell_length_c 4.635
_cell_angle_alpha 90.00
_cell_angle_beta 109.62
_cell_angle_gamma 90.00
loop_
_symmetry_equiv_pos_as_xyz
'x,y,z'
'-x,-y,-z'
'-x,y,-z'
'x,-y,z'
loop_
_atom_site_label
_atom_site_fract_x
_atom_site_fract_y
_atom_site_fract_z
Cr1 0.000 0.000 0.000
Fe1 0.000 0.500 0.500
Fe2 0.500 0.000 0.500
Ni1 0.500 0.500 0.000
H1 0.233 0.000 0.740
H2 0.241 0.500 0.254
```

Entry from Alexandria: an optimized crystal structure of Al2H2Pb (PBE-GGA).

Values from the calculation:
As for the crystal system: tetragonal. The density of states at the Fermi level comes out at 1.41 states/eV/f.u. The calculation puts the total energy at -16.4 eV per formula unit.

CIF file:
```
data_Al2H2Pb
_chemical_formula_sum 'Al4 H4 Pb2'
_symmetry_space_group_name_H-M 'I 4/m m m'
_symmetry_Int_Tables_number 139
_symmetry_space_group_name_Hall '-I 4 2'
_cell_length_a 3.456
_cell_length_b 3.456
_cell_length_c 12.214
_cell_angle_alpha 90.00
_cell_angle_beta 90.00
_cell_angle_gamma 90.00
loop_
_atom_site_label
_atom_site_fract_x
_atom_site_fract_y
_atom_site_fract_z
Al1 0.000 0.000 0.166
H1 0.000 0.500 0.250
Pb1 0.000 0.000 0.500
```

Entry from Alexandria: an optimized crystal structure of LiSiSe2 (PBE-GGA).

Values from the calculation:
As for the crystal system: tetragonal. The density of states at the Fermi level comes out at 1.66 states/eV/f.u. The calculation puts the total energy at -16.3 eV per formula unit. As for the uncorrected formation energy: -1.98 eV/f.u.

CIF file:
```
data_LiSiSe2
_chemical_formula_sum 'Li4 Si4 Se8'
_symmetry_space_group_name_H-M 'I -4 2 d'
_symmetry_Int_Tables_number 122
_symmetry_space_group_name_Hall 'I -4 2bw'
_cell_length_a 5.753
_cell_length_b 5.753
_cell_length_c 12.179
_cell_angle_alpha 90.00
_cell_angle_beta 90.00
_cell_angle_gamma 90.00
loop_
_atom_site_label
_atom_site_fract_x
_atom_site_fract_y
_atom_site_fract_z
Li1 0.000 0.000 0.000
Si1 0.000 0.000 0.500
Se1 0.222 0.250 0.625
```

Entry from Alexandria: an optimized crystal structure of Li5Mg7 (PBE-GGA).

Values from the calculation:
The calculated formation energy comes out at 0.0183 eV per atom. As for the crystal system: monoclinic. The density of states at the Fermi level comes out at 4.15 states/eV/f.u. The calculation puts the total energy at -20.5 eV per formula unit. As for the relative energy among the computed polymorphs: 1.616 kcal/mol of atoms.

CIF file:
```
data_Li5Mg7
_chemical_formula_sum 'Li10 Mg14'
_symmetry_space_group_name_H-M 'C 1 2/m 1'
_symmetry_Int_Tables_number 12
_cell_length_a 13.146
_cell_length_b 3.104
_cell_length_c 12.495
_cell_angle_alpha 90.00
_cell_angle_beta 94.39
_cell_angle_gamma 90.00
loop_
_symmetry_equiv_pos_as_xyz
'x,y,z'
'-x,-y,-z'
'-x,y,-z'
'x,-y,z'
'x+1/2,y+1/2,z'
'-x+1/2,-y+1/2,-z'
'-x+1/2,y+1/2,-z'
'x+1/2,-y+1/2,z'
loop_
_atom_site_label
_atom_site_fract_x
_atom_site_fract_y
_atom_site_fract_z
Li1 0.000 0.000 0.000
Li2 0.114 0.500 0.862
Li3 0.178 0.000 0.448
Mg1 0.000 0.500 0.500
Mg2 0.053 0.000 0.259
Mg3 0.181 0.000 0.680
Mg4 0.189 0.500 0.094
```

Entry from Alexandria: an optimized crystal structure of Sm4HoPu3Se8 (PBE-GGA).

Values from the calculation:
As for the crystal system: trigonal. The density of states at the Fermi level comes out at 27.87 states/eV/f.u. The calculation puts the total energy at -121.8 eV per formula unit. As for the uncorrected formation energy: -27.52 eV/f.u.

CIF file:
```
data_Sm4HoPu3Se8
_chemical_formula_sum 'Sm12 Ho3 Pu9 Se24'
_symmetry_space_group_name_H-M 'R -3 m'
_symmetry_Int_Tables_number 166
_symmetry_space_group_name_Hall '-R 3 2"'
_cell_length_a 8.2706
_cell_length_b 8.2706
_cell_length_c 20.4072
_cell_angle_alpha 90.00
_cell_angle_beta 90.00
_cell_angle_gamma 120.00
loop_
_atom_site_label
_atom_site_fract_x
_atom_site_fract_y
_atom_site_fract_z
Sm1 0.0000 0.0000 0.0000
Sm2 0.0000 0.5000 0.0000
Ho1 0.0000 0.0000 0.5000
Pu1 0.0000 0.5000 0.5000
Se1 0.0000 0.0000 0.2488
Se2 0.0032 0.5016 0.2482
```

Entry from Alexandria: an optimized crystal structure of Na2CaMg (PBE-GGA).

Values from the calculation:
The calculated formation energy comes out at 0.1116 eV per atom. As for the crystal system: tetragonal. The density of states at the Fermi level comes out at 2.00 states/eV/f.u. The calculation puts the total energy at -5.8 eV per formula unit.

CIF file:
```
data_Na2CaMg
_chemical_formula_sum 'Na2 Ca1 Mg1'
_symmetry_space_group_name_H-M 'P 4/m m m'
_symmetry_Int_Tables_number 123
_symmetry_space_group_name_Hall '-P 4 2'
_cell_length_a 4.098
_cell_length_b 4.098
_cell_length_c 8.001
_cell_angle_alpha 90.00
_cell_angle_beta 90.00
_cell_angle_gamma 90.00
loop_
_atom_site_label
_atom_site_fract_x
_atom_site_fract_y
_atom_site_fract_z
Na1 0.000 0.000 0.218
Ca1 0.500 0.500 0.500
Mg1 0.500 0.500 0.000
```

Entry from Alexandria: an optimized crystal structure of Sm4InAg3 (PBE-GGA).

Values from the calculation:
The calculated formation energy comes out at -0.2898 eV per atom. As for the crystal system: orthorhombic. The density of states at the Fermi level comes out at 8.40 states/eV/f.u. The calculation puts the total energy at -32.5 eV per formula unit. As for the relative energy among the computed polymorphs: 0.753 kcal/mol of atoms.

CIF file:
```
data_Sm4InAg3
_chemical_formula_sum 'Sm4 In1 Ag3'
_symmetry_space_group_name_H-M 'P m m 2'
_symmetry_Int_Tables_number 25
_cell_length_a 3.759
_cell_length_b 4.891
_cell_length_c 11.709
_cell_angle_alpha 90.00
_cell_angle_beta 90.00
_cell_angle_gamma 90.00
loop_
_symmetry_equiv_pos_as_xyz
'x,y,z'
'-x,-y,z'
'-x,y,z'
'x,-y,z'
loop_
_atom_site_label
_atom_site_fract_x
_atom_site_fract_y
_atom_site_fract_z
Sm1 0.000 0.000 0.000
Sm2 0.000 0.500 0.284
Sm3 0.500 0.000 0.485
Sm4 0.500 0.500 0.797
In1 0.000 0.000 0.718
Ag1 0.000 0.500 0.562
Ag2 0.500 0.000 0.216
Ag3 0.500 0.500 0.069
```

Entry from Alexandria: an optimized crystal structure of Nd3SmNi8 (PBE-GGA).

Values from the calculation:
The calculated formation energy comes out at -0.3233 eV per atom. As for the crystal system: trigonal. The density of states at the Fermi level comes out at 8.55 states/eV/f.u. The calculation puts the total energy at -69.2 eV per formula unit.

CIF file:
```
data_Nd3SmNi8
_chemical_formula_sum 'Nd9 Sm3 Ni24'
_symmetry_space_group_name_H-M 'R 3 m'
_symmetry_Int_Tables_number 160
_symmetry_space_group_name_Hall 'R 3 -2"'
_cell_length_a 5.1614
_cell_length_b 5.1614
_cell_length_c 25.3330
_cell_angle_alpha 90.00
_cell_angle_beta 90.00
_cell_angle_gamma 120.00
loop_
_atom_site_label
_atom_site_fract_x
_atom_site_fract_y
_atom_site_fract_z
Nd1 0.0000 0.0000 0.0000
Nd2 0.0000 0.0000 0.1251
Nd3 0.0000 0.0000 0.5004
Sm1 0.0000 0.0000 0.6252
Ni1 0.0000 0.0000 0.3126
Ni2 0.0000 0.0000 0.8127
Ni3 0.0001 0.5001 0.5631
Ni4 0.1671 0.3342 0.3956
```